A geometry-optimized TaMoAu structure, computed with PBE.

Computed properties:
raw total energy	-8.614	eV per atom
ΔH_f (0 K)	40	meV per atom
polymorph energy (0 for the lowest one)	100.0	meV/atom
density	15.29	g/cm3
total magnetic moment	0.0	μB per formula unit

```
data_TaMoAu
_symmetry_space_group_name_H-M 'P 1'
_symmetry_Int_Tables_number 1
_cell_length_a 7.1722
_cell_length_b 7.0338
_cell_length_c 2.7919
_cell_angle_alpha 81.46
_cell_angle_beta 75.89
_cell_angle_gamma 22.64
loop_
_symmetry_equiv_pos_as_xyz
'x,y,z'
loop_
_atom_site_label
_atom_site_type_symbol
_atom_site_fract_x
_atom_site_fract_y
_atom_site_fract_z
_atom_site_occupancy
Ta1 Ta 0.0000 0.0000 0.0000 1
Mo1 Mo 0.3380 0.3380 0.6620 1
Au1 Au 0.6694 0.6694 0.3306 1
```

=====

A geometry-optimized TaOsAu structure, computed with PBE.

Computed properties:
raw total energy	-8.635	eV per atom
ΔH_f (0 K)	152	meV per atom
polymorph energy (0 for the lowest one)	177.6	meV/atom
density	18.79	g/cm3
total magnetic moment	0.0	μB per formula unit

```
data_TaOsAu
_symmetry_space_group_name_H-M 'P 1'
_symmetry_Int_Tables_number 1
_cell_length_a 4.5490
_cell_length_b 4.5490
_cell_length_c 2.8009
_cell_angle_alpha 90.00
_cell_angle_beta 90.00
_cell_angle_gamma 120.00
loop_
_symmetry_equiv_pos_as_xyz
'x,y,z'
loop_
_atom_site_label
_atom_site_type_symbol
_atom_site_fract_x
_atom_site_fract_y
_atom_site_fract_z
_atom_site_occupancy
Ta1 Ta 0.0000 0.0000 0.0000 1
Os1 Os 0.3333 0.6667 0.7532 1
Au1 Au 0.6667 0.3333 0.3443 1
```

=====

A geometry-optimized HoTmThTi structure, computed with PBE.

Computed properties:
raw total energy	-5.876	eV per atom
ΔH_f (0 K)	215	meV per atom
density	9.26	g/cm3
total magnetic moment	1.7	μB per formula unit

```
data_HoTmThTi
_symmetry_space_group_name_H-M 'P 1'
_symmetry_Int_Tables_number 1
_cell_length_a 5.3792
_cell_length_b 5.3792
_cell_length_c 5.3792
_cell_angle_alpha 60.00
_cell_angle_beta 60.00
_cell_angle_gamma 60.00
loop_
_symmetry_equiv_pos_as_xyz
'x,y,z'
loop_
_atom_site_label
_atom_site_type_symbol
_atom_site_fract_x
_atom_site_fract_y
_atom_site_fract_z
_atom_site_occupancy
Ho1 Ho 0.0000 0.0000 0.0000 1
Tm1 Tm 0.7500 0.7500 0.7500 1
Th1 Th 0.5000 0.5000 0.5000 1
Ti1 Ti 0.2500 0.2500 0.2500 1
```

=====

A geometry-optimized Tb5Cd2Au2 structure, computed with PBE.

Computed properties:
raw total energy	-3.958	eV per atom
ΔH_f (0 K)	-454	meV per atom
density	9.63	g/cm3
total magnetic moment	0.0	μB per formula unit

```
data_Tb5Cd2Au2
_symmetry_space_group_name_H-M 'P 1'
_symmetry_Int_Tables_number 1
_cell_length_a 9.3626
_cell_length_b 9.3626
_cell_length_c 7.4277
_cell_angle_alpha 90.00
_cell_angle_beta 90.00
_cell_angle_gamma 48.45
loop_
_symmetry_equiv_pos_as_xyz
'x,y,z'
loop_
_atom_site_label
_atom_site_type_symbol
_atom_site_fract_x
_atom_site_fract_y
_atom_site_fract_z
_atom_site_occupancy
Tb1 Tb 0.0000 0.0000 0.0000 1
Tb2 Tb 0.0498 0.6892 0.6718 1
Tb3 Tb 0.1892 0.5498 0.1718 1
Tb4 Tb 0.3108 0.9502 0.6718 1
Tb5 Tb 0.4502 0.8108 0.1718 1
Tb6 Tb 0.5000 0.5000 0.5000 1
Tb7 Tb 0.5498 0.1892 0.8282 1
Tb8 Tb 0.6892 0.0498 0.3282 1
Tb9 Tb 0.8108 0.4502 0.8282 1
Tb10 Tb 0.9502 0.3108 0.3282 1
Cd1 Cd 0.2210 0.2210 0.0000 1
Cd2 Cd 0.2790 0.2790 0.5000 1
Cd3 Cd 0.7210 0.7210 0.5000 1
Cd4 Cd 0.7790 0.7790 0.0000 1
Au1 Au 0.1356 0.8644 0.3699 1
Au2 Au 0.3644 0.6356 0.8699 1
Au3 Au 0.6356 0.3644 0.1301 1
Au4 Au 0.8644 0.1356 0.6301 1
```

=====

A geometry-optimized SnGeBi structure, computed with PBE.

Computed properties:
raw total energy	-4.017	eV per atom
ΔH_f (0 K)	150	meV per atom
polymorph energy (0 for the lowest one)	12.6	meV/atom
density	7.98	g/cm3
total magnetic moment	0.0	μB per formula unit

```
data_SnGeBi
_symmetry_space_group_name_H-M 'P 1'
_symmetry_Int_Tables_number 1
_cell_length_a 4.2283
_cell_length_b 4.2283
_cell_length_c 5.3817
_cell_angle_alpha 90.00
_cell_angle_beta 90.00
_cell_angle_gamma 120.00
loop_
_symmetry_equiv_pos_as_xyz
'x,y,z'
loop_
_atom_site_label
_atom_site_type_symbol
_atom_site_fract_x
_atom_site_fract_y
_atom_site_fract_z
_atom_site_occupancy
Sn1 Sn 0.0000 0.0000 0.0000 1
Ge1 Ge 0.3333 0.6667 0.7182 1
Bi1 Bi 0.6667 0.3333 0.3961 1
```

=====

A geometry-optimized Pm2Np2Se7 structure, computed with PBE.

Computed properties:
raw total energy	-6.682	eV per atom
density	6.63	g/cm3
formation energy (no corrections)	-1.248	eV per atom
total magnetic moment	6.0	μB per formula unit

```
data_Pm2Np2Se7
_symmetry_space_group_name_H-M 'P 1'
_symmetry_Int_Tables_number 1
_cell_length_a 6.9049
_cell_length_b 6.9049
_cell_length_c 6.9599
_cell_angle_alpha 90.00
_cell_angle_beta 90.00
_cell_angle_gamma 96.10
loop_
_symmetry_equiv_pos_as_xyz
'x,y,z'
loop_
_atom_site_label
_atom_site_type_symbol
_atom_site_fract_x
_atom_site_fract_y
_atom_site_fract_z
_atom_site_occupancy
Pm1 Pm 0.2293 0.2293 0.0000 1
Pm2 Pm 0.7707 0.7707 0.0000 1
Np1 Np 0.2335 0.7665 0.5000 1
Np2 Np 0.7665 0.2335 0.5000 1
Se1 Se 0.0000 0.0000 0.2653 1
Se2 Se 0.0000 0.0000 0.7347 1
Se3 Se 0.0000 0.5000 0.2429 1
Se4 Se 0.0000 0.5000 0.7571 1
Se5 Se 0.5000 0.0000 0.2429 1
Se6 Se 0.5000 0.0000 0.7571 1
Se7 Se 0.5000 0.5000 0.5000 1
```